The following is a GGA+U calculation of a relaxed CoBiO3 crystal, from the Open Quantum Materials Database.

abc: 5.630 5.591 8.152
angles: 90.00 90.00 90.00
Site moments in Bohr magnetons follow the coordinates.
Fractional coordinates of all 20 atoms:
O1 0.347 0.653 0.921  -0.01
O2 0.644 0.131 0.750  0.05
O3 0.847 0.847 0.079  -0.01
O4 0.153 0.153 0.579  -0.02
O5 0.347 0.653 0.579  -0.01
O6 0.653 0.347 0.079  -0.01
O7 0.856 0.631 0.750  0.04
O8 0.153 0.153 0.921  -0.01
O9 0.356 0.869 0.250  0.05
O10 0.144 0.369 0.250  0.04
O11 0.653 0.347 0.421  -0.01
O12 0.847 0.847 0.421  -0.02
Bi1 0.500 0.000 0.000  0.00
Bi2 0.500 0.000 0.500  0.00
Bi3 0.000 0.500 0.500  -0.01
Bi4 0.000 0.500 0.000  -0.01
Co1 0.479 0.518 0.250  0.94
Co2 0.021 0.018 0.250  0.94
Co3 0.521 0.482 0.750  0.94
Co4 0.979 0.982 0.750  0.94

Summary:
M_tot in μB per formula unit: 1.0
Uncorrected energy in eV/atom: -5.479